(1)
A plane-wave DFT calculation with meta-GGA SCAN was carried out for a crystal of Sr2NCl relaxed with PBEsol.

Output
space group = R-3m, No. 166
total magnetization = 0.1 μB per formula unit
electronic total energy = -68.495 eV for the cell shown
density of states at the Fermi level = 0.0 states/eV per cell
E_form (uncorrected) = -1669 meV/atom
crystal system = trigonal

abc: 3.8540 3.8540 7.3259
angles: 74.75 74.75 60.00
Last column: nearest neighbours and their distance in Å.
Atoms (fractional coordinates):
Sr 0.2305 0.2305 0.3084  3 N 2.60
Sr 0.7695 0.7695 0.6916  3 N 2.60
N 0.5000 0.5000 0.5000  6 Sr 2.60
Cl 0.0000 0.0000 0.0000  6 Sr 3.10

***

(2)
A plane-wave DFT calculation with meta-GGA SCAN was carried out for a crystal of TlSn2I relaxed with PBEsol.

Output
space group = Fm-3m, No. 225
total magnetization = 0.0 μB per formula unit
electronic total energy = -179.712 eV for the cell shown
density of states at the Fermi level = 2.5 states/eV per cell
E_form (uncorrected) = 307 meV/atom
crystal system = cubic

abc: 5.4307 5.4307 5.4307
angles: 60.00 60.00 60.00
Last column: nearest neighbours and their distance in Å.
Atoms (fractional coordinates):
I 0.0000 0.0000 0.0000  8 Sn 3.33
Tl 0.5000 0.5000 0.5000  8 Sn 3.33
Sn 0.7500 0.7500 0.7500  4 Tl 3.33, 4 I 3.33
Sn 0.2500 0.2500 0.2500  4 Tl 3.33, 4 I 3.33

***

(3)
A plane-wave DFT calculation with meta-GGA SCAN was carried out for a crystal of SmGa6 relaxed with PBEsol.

Output
space group = P4/nbm, No. 125
total magnetization = 0.0 μB per formula unit
electronic total energy = -290.542 eV for the cell shown
E_form = -0.393 eV/atom
density of states at the Fermi level = 2.0 states/eV per cell
crystal system = tetragonal

abc: 5.8881 5.8881 7.5442
angles: 90.00 90.00 90.00
Last column: nearest neighbours and their distance in Å.
Atoms (fractional coordinates):
Ga 0.3179 0.8179 0.3522  3 Ga 2.50-2.59
Ga 0.0000 0.0000 0.8384  5 Ga 2.44-2.59
Ga 0.1821 0.3179 0.3522  3 Ga 2.50-2.59
Ga 0.0000 0.0000 0.1616  5 Ga 2.44-2.59
Ga 0.5000 0.5000 0.1616  5 Ga 2.44-2.59
Ga 0.3179 0.1821 0.6478  3 Ga 2.50-2.59
Ga 0.6821 0.1821 0.3522  3 Ga 2.50-2.59
Ga 0.8179 0.3179 0.6478  3 Ga 2.50-2.59
Ga 0.1821 0.6821 0.6478  3 Ga 2.50-2.59
Ga 0.8179 0.6821 0.3522  3 Ga 2.50-2.59
Ga 0.5000 0.5000 0.8384  5 Ga 2.44-2.59
Ga 0.6821 0.8179 0.6478  3 Ga 2.50-2.59
Sm 0.5000 0.0000 0.0000  12 Ga 3.06-3.19
Sm 0.0000 0.5000 0.0000  12 Ga 3.06-3.19